Entry from Alexandria: a geometry-optimized Sc2BeMoO6 structure (GGA+U).

Values from the calculation:
DFT total energy, eV per cell: -76.6
Space group: P4mm

abc: 4.954 4.954 4.836
angles: 90.00 90.00 90.00
Element x y z (fractional)
Sc  0.000  0.500  0.000
Sc  0.500  0.000  0.000
Be  0.000  0.000  0.611
Mo  0.500  0.500  0.577
O  0.000  0.000  0.282
O  0.243  0.243  0.771
O  0.243  0.757  0.771
O  0.500  0.500  0.200
O  0.757  0.243  0.771
O  0.757  0.757  0.771